Record 1
A crystal of Cu2HgTePd relaxed with PBEsol, computed with meta-GGA SCAN.

a = 4.620 Å, b = 4.620 Å, c = 5.682 Å
α = 90.00°, β = 90.00°, γ = 90.00°
Sites, in units of the cell vectors:
Te 0.000 0.000 0.000
Cu 0.000 0.500 0.000
Hg 0.000 0.000 0.500
Pd 0.500 0.500 0.500
Cu 0.500 0.000 0.000

## Properties
Energy relative to the elements, uncorrected   4.29 eV per formula unit

***

Record 2
A crystal of SiAgPd2Ru relaxed with PBEsol, computed with meta-GGA SCAN.

a = 4.364 Å, b = 4.770 Å, c = 4.770 Å
α = 90.00°, β = 90.00°, γ = 90.00°
Each line ends with the local moment (μB).
Sites, in units of the cell vectors:
Pd 0.000 0.000 0.500  0.13
Ag 0.000 0.000 0.000  0.03
Ru 0.500 0.500 0.500  2.61
Si 0.500 0.000 0.000  -0.01
Pd 0.000 0.500 0.000  0.13

## Properties
Energy relative to the elements, uncorrected   7.60 eV per formula unit

***

Record 3
A crystal of MnSb relaxed with PBEsol, computed with meta-GGA SCAN.

a = 3.989 Å, b = 3.989 Å, c = 5.473 Å
α = 90.00°, β = 90.00°, γ = 120.00°
Each line ends with the local moment (μB).
Sites, in units of the cell vectors:
Sb 0.333 0.667 0.250  -0.13
Mn 0.000 0.000 0.000  3.46
Sb 0.667 0.333 0.750  -0.13
Mn 0.000 0.000 0.500  3.46

## Properties
Energy relative to the elements, uncorrected   -0.52 eV per formula unit